V2FeAsO6 | Alexandria | PBE with a Hubbard U | relaxed; VASP energy = -7.102 eV/atom
1.0
-3.717 2.933 -2.453
-3.235 -2.395 -3.468
-5.329 -0.778 1.360
V Fe As O
2 1 1 6
Cartesian
-5.966 -0.112 -2.477 V
-5.273 -0.685 1.214 V
-8.762 -0.007 -3.951 Fe
-2.714 0.301 -1.909 As
-4.347 1.123 -2.227 O
-4.955 -1.624 -3.178 O
-6.638 0.621 -4.139 O
-7.846 -1.159 -2.356 O
-7.130 1.127 -1.189 O
-5.503 -0.984 -0.573 O